A relaxed structure of Sm2Y2Si4Ir. Source: Alexandria via LeMat-Bulk, functional GGA-PBE.

Properties
Total DFT energy (no corrections): -0.2310 Ha/atom
Fermi-level density of states: 8.32 states/eV/cell
Calculated volume: 22.56 A^3/atom
ΔE_f (raw): -3.65 eV/f.u.
Space group: I4/mmm (139)

Cell: 6.4933 6.4933 6.4933 Å, 96.60 116.26 116.26°
Fractional positions:
Y1 0.0000 0.6883 0.6883
Y2 0.0000 0.3117 0.3117
Si1 0.0000 0.2479 0.7521
Ir1 0.0000 0.0000 0.0000
Si2 0.0000 0.7521 0.2479
Sm1 0.5000 0.7500 0.2500
Si3 0.4957 0.2479 0.2479
Sm2 0.5000 0.2500 0.7500
Si4 0.5043 0.7521 0.7521